# BeC2N

A relaxed structure of BeC2N (PBE, Alexandria).

```
data_BeC2N
_chemical_formula_sum 'Be1 C2 N1'
_cell_length_a 2.820
_cell_length_b 3.116
_cell_length_c 5.190
_cell_angle_alpha 73.10
_cell_angle_beta 89.99
_cell_angle_gamma 63.09
_symmetry_space_group_name_H-M 'P 1'
_symmetry_Int_Tables_number 1
loop_
_symmetry_equiv_pos_as_xyz
'x,y,z'
loop_
_atom_site_label
_atom_site_fract_x
_atom_site_fract_y
_atom_site_fract_z
_atom_site_occupancy
C1 0.147 0.741 0.416 1
C2 0.063 0.908 0.141 1
Be1 0.885 0.264 0.567 1
N1 0.988 0.059 0.899 1
```

Properties
The value obtained for the energy above the most stable polymorph in this dataset is 18.0 kJ per mole of atoms. The calculation puts the uncorrected formation energy at 325 meV per atom. The calculation puts the size of the total moment at 0.0 Bohr magnetons per cell. Its symmetry is No. 8.